A plane-wave DFT calculation with PBE was carried out for a relaxed structure of UMnNb.

Structure (CIF):
```
data_UMnNb
_chemical_formula_sum 'U2 Mn2 Nb2'
_cell_length_a 3.299
_cell_length_b 3.299
_cell_length_c 9.330
_cell_angle_alpha 90.00
_cell_angle_beta 90.00
_cell_angle_gamma 90.00
_space_group_name_H-M_alt 'I 4 m m'
_space_group_IT_number 107
_space_group_name_Hall 'I 4 -2'
loop_
_atom_site_label
_atom_site_type_symbol
_atom_site_fract_x
_atom_site_fract_y
_atom_site_fract_z
U1 U 0.000 0.000 0.000
Mn1 Mn 0.000 0.000 0.603
Nb1 Nb 0.000 0.000 0.299
```

Summary:
Size of the total moment = 0.00 μB per formula unit
Energy relative to the lowest polymorph listed for this composition = 0 meV/atom